No. 1
Here is crystalline LaAsSe3 at its relaxed geometry from Alexandria via LeMat-Bulk. Energies are from PBE-GGA.

The space group is Pnma (No. 62) and the conventional cell measures 8.343, 4.175 and 14.136 Å, with angles of 90.00, 90.00 and 90.00 degrees. The inequivalent atoms are La at (0.097, 0.250, 0.168), As at (0.158, 0.750, 0.439), Se at (0.021, 0.750, 0.623), Se at (0.149, 0.750, 0.004) and Se at (0.184, 0.250, 0.784).

The energy above the most stable polymorph in this dataset comes out at 0 meV/atom. The uncorrected energy is -5.058 eV per atom. As for the uncorrected formation energy: -1051.6 meV/atom.

***

No. 2
Here is crystalline La4As2Se at its relaxed geometry from Alexandria via LeMat-Bulk. Energies are from PBE-GGA.

The space group is I4_1/amd (No. 141, origin choice 2) and the conventional cell measures 9.573, 9.573 and 9.486 Å, with angles of 90.00, 90.00 and 90.00 degrees. The inequivalent atoms are La at (0.000, 0.059, 0.198), As at (0.000, 0.000, 0.500) and Se at (0.000, 0.250, 0.875).

The uncorrected energy is -5.942 eV per atom. As for the uncorrected formation energy: -1299.7 meV/atom.

***

No. 3
Here is crystalline La2AsSe at its relaxed geometry from Alexandria via LeMat-Bulk. Energies are from PBE-GGA.

The space group is Amm2 (No. 38) and the conventional cell measures 4.593, 4.064 and 12.032 Å, with angles of 90.00, 90.00 and 90.00 degrees. The inequivalent atoms are La at (0.000, 0.000, 0.000), La at (0.500, 0.000, 0.257), As at (0.500, 0.000, 0.511) and Se at (0.000, 0.000, 0.749).

The energy above the most stable polymorph in this dataset comes out at 228 meV/atom. The uncorrected energy is -6.108 eV per atom. As for the uncorrected formation energy: -1610.8 meV/atom.

***

No. 4
Here is crystalline La8As3Se4 at its relaxed geometry from Alexandria via LeMat-Bulk. Energies are from PBE-GGA.

The space group is C2/m (No. 12) and the conventional cell measures 12.196, 12.222 and 8.638 Å, with angles of 90.00, 134.86 and 90.00 degrees. The inequivalent atoms are La at (0.000, 0.248, 0.000), La at (0.000, 0.249, 0.500), La at (0.244, 0.000, 0.994), La at (0.249, 0.000, 0.495), As at (0.000, 0.000, 0.000), As at (0.250, 0.250, 0.500), Se at (0.000, 0.000, 0.500), Se at (0.000, 0.500, 0.000) and Se at (0.250, 0.250, 0.000).

The uncorrected energy is -6.185 eV per atom. As for the uncorrected formation energy: -1697.9 meV/atom.

***

No. 5
Here is crystalline La3AsSe6 at its relaxed geometry from Alexandria via LeMat-Bulk. Energies are from PBE-GGA.

The space group is Cmc2_1 (No. 36) and the conventional cell measures 11.541, 14.357 and 7.470 Å, with angles of 90.00, 90.00 and 90.00 degrees. The inequivalent atoms are La at (0.000, 0.104, 0.000), La at (0.186, 0.401, 0.067), As at (0.000, 0.312, 0.637), Se at (0.000, 0.282, 0.224), Se at (0.000, 0.471, 0.790), Se at (0.161, 0.022, 0.284) and Se at (0.166, 0.240, 0.789).

The uncorrected energy is -5.570 eV per atom. As for the uncorrected formation energy: -1536.1 meV/atom.

***

No. 6
Here is crystalline LaAsSe at its relaxed geometry from Alexandria via LeMat-Bulk. Energies are from PBE-GGA.

The space group is F-43m (No. 216) and the conventional cell measures 6.925, 6.925 and 6.925 Å, with angles of 90.00, 90.00 and 90.00 degrees. The inequivalent atoms are La at (0.000, 0.000, 0.000), As at (0.000, 0.000, 0.500) and Se at (0.250, 0.250, 0.250).

The uncorrected energy is -5.167 eV per atom. As for the uncorrected formation energy: -812.7 meV/atom.

***

Question: What is the uncorrected energy in the fourth record?
Answer: -6.185 eV per atom